Entry 1:
! PBE-GGA VSiHRu2, optimized geometry; values from VASP
&SYSTEM
  ibrav = 0, nat = 5, ntyp = 4
/
ATOMIC_SPECIES
Ru 101.07 Ru.upf
Si 28.09 Si.upf
H 1.01 H.upf
V 50.94 V.upf
CELL_PARAMETERS angstrom
-3.949 0.069 0.313
-0.320 -0.838 -3.859
-0.001 -3.488 0.758
ATOMIC_POSITIONS crystal
Ru 0.000 0.500 0.000
Ru 0.500 0.000 0.000
Si 0.500 0.500 0.500
H 0.000 0.000 0.000
V 0.000 0.000 0.500
! Final energy = -37.45 eV per cell

Entry 2:
! PBE-GGA V2Ni5Pt12, optimized geometry; values from VASP
&SYSTEM
  ibrav = 0, nat = 19, ntyp = 3
/
ATOMIC_SPECIES
V 50.94 V.upf
Ni 58.69 Ni.upf
Pt 195.08 Pt.upf
CELL_PARAMETERS angstrom
-5.079 1.246 1.325
4.183 -1.229 6.205
1.561 7.770 -1.324
ATOMIC_POSITIONS crystal
V 0.719 0.000 0.000
V 0.281 0.000 0.000
Ni 0.291 0.582 0.604
Ni 0.370 0.741 0.121
Ni 0.000 0.000 0.500
Ni 0.630 0.259 0.879
Ni 0.709 0.418 0.396
Pt 0.070 0.141 0.250
Pt 0.046 0.594 0.873
Pt 0.548 0.594 0.873
Pt 0.111 0.718 0.390
Pt 0.607 0.718 0.390
Pt 0.473 0.946 0.681
Pt 0.527 0.054 0.319
Pt 0.889 0.282 0.610
Pt 0.393 0.282 0.610
Pt 0.954 0.406 0.127
Pt 0.452 0.406 0.127
Pt 0.930 0.859 0.750
! Formation energy = 0.095 eV per atom

Entry 3:
! PBE-GGA NaIN2O, optimized geometry; values from VASP
&SYSTEM
  ibrav = 0, nat = 5, ntyp = 4
/
ATOMIC_SPECIES
I 126.90 I.upf
Na 22.99 Na.upf
O 16.00 O.upf
N 14.01 N.upf
CELL_PARAMETERS angstrom
-2.468 -0.516 3.667
3.702 -0.398 2.436
0.046 4.480 0.661
ATOMIC_POSITIONS crystal
I 0.000 0.000 0.500
Na 0.500 0.500 0.500
O 0.000 0.000 0.000
N 0.000 0.500 0.000
N 0.500 0.000 0.000
! Raw formation energy = 8.7 eV per formula unit

Entry 4:
! PBE-GGA ZrPtO2F, optimized geometry; values from VASP
&SYSTEM
  ibrav = 0, nat = 5, ntyp = 4
/
ATOMIC_SPECIES
O 16.00 O.upf
Zr 91.22 Zr.upf
Pt 195.08 Pt.upf
F 19.00 F.upf
CELL_PARAMETERS angstrom
-1.750 -2.603 -2.552
1.197 -3.084 2.325
-3.638 0.265 2.224
ATOMIC_POSITIONS crystal
O 0.000 0.500 0.000
O 0.500 0.000 0.000
Zr 0.500 0.500 0.500
Pt 0.000 0.000 0.000
F 0.000 0.000 0.500
! Raw formation energy = -2.5 eV per formula unit

Entry 5:
! PBE-GGA Sr3CaRh, optimized geometry; values from VASP
&SYSTEM
  ibrav = 0, nat = 10, ntyp = 3
/
ATOMIC_SPECIES
Sr 87.62 Sr.upf
Ca 40.08 Ca.upf
Rh 102.91 Rh.upf
CELL_PARAMETERS angstrom
8.182 6.762 0.003
-10.029 -1.134 -3.284
-2.223 2.687 5.861
ATOMIC_POSITIONS crystal
Sr 0.130 0.403 0.250
Sr 0.597 0.870 0.250
Sr 0.403 0.130 0.750
Sr 0.870 0.597 0.750
Sr 0.000 0.000 0.000
Sr 0.000 0.000 0.500
Ca 0.181 0.819 0.250
Ca 0.819 0.181 0.750
Rh 0.486 0.514 0.250
Rh 0.514 0.486 0.750
! Formation energy = 0.617 eV per atom
! E above lowest polymorph = 0.8175 eV per atom

| no. | density of states at the Fermi level (states/eV per cell) |
| --- | --- |
| 1 | 4.224 |
| 2 | 25.224 |
| 3 | 0.875 |
| 4 | 3.689 |
| 5 | 13.635 |